The following is a DFT calculation (SCAN) of YNi2H2 at its PBEsol-relaxed geometry.

Cell lengths 3.452, 3.452, 4.832 Å; angles 110.93, 110.93, 90.00 degrees
Atoms (fractional coordinates):
H (0.750, 0.250, 0.500)
H (0.250, 0.750, 0.500)
Y (0.000, 0.000, 0.000)
Ni (0.325, 0.325, 0.650)
Ni (0.675, 0.675, 0.350)

Calculated values
Mass density   7.0 Mg/m³
Electronic total energy   -68.45 eV per cell


The following is a DFT calculation (SCAN) of Na2CrAs2 at its PBEsol-relaxed geometry.

Cell lengths 3.858, 3.858, 7.227 Å; angles 105.48, 105.48, 90.00 degrees
Last column: magnetic moment on the atom in μB.
Atoms (fractional coordinates):
As (0.589, 0.589, 0.178)  -0.22
As (0.411, 0.411, 0.822)  -0.22
Na (0.750, 0.250, 0.500)  -0.01
Na (0.250, 0.750, 0.500)  -0.01
Cr (0.000, 0.000, 0.000)  3.92

Calculated values
Excess energy over the best structure of this formula in the dataset   2.42 eV/f.u.
Formation energy from the elements   4.9 kJ per mole of atoms
Mass density   4.1 Mg/m³


The following is a DFT calculation (SCAN) of In2PRh at its PBEsol-relaxed geometry.

Cell lengths 4.206, 4.206, 4.932 Å; angles 115.24, 115.24, 90.00 degrees
Atoms (fractional coordinates):
In (0.250, 0.750, 0.500)
In (0.750, 0.250, 0.500)
P (0.500, 0.500, 0.000)
Rh (0.000, 0.000, 0.000)

Calculated values
Formation energy from the elements   15.5 kJ per mole of atoms
Mass density   8.7 Mg/m³


The following is a DFT calculation (SCAN) of SrCaTcPd2 at its PBEsol-relaxed geometry.

Cell lengths 4.939, 5.095, 5.095 Å; angles 90.00, 90.00, 90.00 degrees
Last column: magnetic moment on the atom in μB.
Atoms (fractional coordinates):
Ca (0.500, 0.500, 0.500)  -0.02
Pd (0.000, 0.500, 0.000)  -0.04
Pd (0.000, 0.000, 0.500)  -0.04
Sr (0.000, 0.000, 0.000)  -0.04
Tc (0.500, 0.000, 0.000)  2.18

Calculated values
Formation energy from the elements   112.3 kJ per mole of atoms
Mass density   5.7 Mg/m³


The following is a DFT calculation (SCAN) of ZnFe2P at its PBEsol-relaxed geometry.

Cell lengths 2.545, 2.545, 8.012 Å; angles 90.00, 90.00, 104.07 degrees
Last column: magnetic moment on the atom in μB.
Atoms (fractional coordinates):
Fe (0.000, 0.000, 0.984)  2.72
Fe (0.500, 0.500, 0.751)  2.48
Zn (0.500, 0.500, 0.222)  -0.05
P (0.000, 0.000, 0.543)  -0.01

Calculated values
Formation energy from the elements   9.5 kJ per mole of atoms
Mass density   6.9 Mg/m³


The following is a DFT calculation (SCAN) of Cd2AsPt at its PBEsol-relaxed geometry.

Cell lengths 4.109, 4.109, 5.153 Å; angles 113.50, 113.50, 90.00 degrees
Atoms (fractional coordinates):
Cd (0.750, 0.250, 0.500)
Cd (0.000, 0.000, 0.000)
As (0.250, 0.750, 0.500)
Pt (0.500, 0.500, 0.000)

Calculated values
Formation energy from the elements   -2.3 kJ per mole of atoms
Mass density   11.4 Mg/m³


Q: What is the mass density in the sixth record?
A: 11.4 Mg/m³